Material: Rb2Bi2N
Method: DFT, PBE-GGA
State: relaxed

Calculated values
Polymorph energy (0 for the lowest one), meV per atom: 130
SG: P4/mbm, No. 127

Lattice parameters (Å, degrees): 7.106 7.106 6.266 90.00 90.00 90.00
Atoms (fractional coordinates):
Rb  0.167  0.333  0.000
Rb  0.333  0.833  0.000
Rb  0.667  0.167  0.000
Rb  0.833  0.667  0.000
Bi  0.167  0.667  0.500
Bi  0.333  0.167  0.500
Bi  0.667  0.833  0.500
Bi  0.833  0.333  0.500
N  0.000  0.000  0.500
N  0.500  0.500  0.500


Material: InBr2Cl
Method: DFT, PBE-GGA
State: relaxed

Calculated values
Polymorph energy (0 for the lowest one), meV per atom: 537
SG: Cmmm, No. 65

Lattice parameters (Å, degrees): 5.137 5.137 5.566 90.00 90.00 117.72
Atoms (fractional coordinates):
In  0.000  0.000  0.000
Br  0.000  0.500  0.500
Br  0.500  0.000  0.500
Cl  0.500  0.500  0.000


Material: AlInSi4
Method: DFT, PBE-GGA
State: relaxed

Calculated values
Uncorrected energy, eV/atom: -4.228
SG: F-43m, No. 216

Lattice parameters (Å, degrees): 5.270 5.270 5.270 60.00 60.00 60.00
Atoms (fractional coordinates):
Al  0.000  0.000  0.000
In  0.750  0.750  0.750
Si  0.374  0.374  0.374
Si  0.374  0.374  0.878
Si  0.374  0.878  0.374
Si  0.878  0.374  0.374


Material: CsHg3Au
Method: DFT, PBE-GGA
State: relaxed

Calculated values
Polymorph energy (0 for the lowest one), meV per atom: 50
ΔH_f (0 K), eV per atom: -0.174
SG: C2/m, No. 12

Lattice parameters (Å, degrees): 6.838 6.838 10.527 113.83 113.83 47.54
Atoms (fractional coordinates):
Cs  0.088  0.088  0.362
Cs  0.912  0.912  0.638
Hg  0.161  0.161  0.007
Hg  0.288  0.288  0.778
Hg  0.379  0.379  0.333
Hg  0.621  0.621  0.667
Hg  0.712  0.712  0.222
Hg  0.839  0.839  0.993
Au  0.442  0.442  0.093
Au  0.558  0.558  0.907